# 1
DFT (PBE) results for crystalline HfZrAs2 at its relaxed geometry.

Lattice parameters (Å, degrees): 6.046 6.046 12.049 90.00 90.00 90.00
Fractional coordinates of all 16 atoms:
Hf 0.000 0.000 0.000
Hf 0.000 0.500 0.250
Hf 0.500 0.000 0.750
Hf 0.500 0.500 0.500
Zr 0.000 0.000 0.500
Zr 0.000 0.500 0.750
Zr 0.500 0.000 0.250
Zr 0.500 0.500 0.000
As 0.245 0.250 0.125
As 0.250 0.745 0.375
As 0.250 0.755 0.875
As 0.255 0.250 0.625
As 0.745 0.750 0.625
As 0.750 0.245 0.875
As 0.750 0.255 0.375
As 0.755 0.750 0.125

Calculated values
calculated formation energy = -0.38 eV/atom



# 2
DFT (PBE) results for crystalline RbHg2Bi2 at its relaxed geometry.

Lattice parameters (Å, degrees): 9.598 9.598 3.584 90.00 90.00 90.00
Fractional coordinates of all 10 atoms:
Rb 0.000 0.000 0.000
Rb 0.500 0.500 0.000
Hg 0.171 0.329 0.500
Hg 0.329 0.829 0.500
Hg 0.671 0.171 0.500
Hg 0.829 0.671 0.500
Bi 0.122 0.622 0.000
Bi 0.378 0.122 0.000
Bi 0.622 0.878 0.000
Bi 0.878 0.378 0.000

Calculated values
calculated formation energy = -0.07 eV/atom



# 3
DFT (PBE) results for crystalline Mo2IrBr at its relaxed geometry.

Lattice parameters (Å, degrees): 6.347 6.347 6.347 90.00 90.00 90.00
Fractional coordinates of all 16 atoms:
Mo 0.250 0.250 0.250
Mo 0.250 0.250 0.750
Mo 0.250 0.750 0.250
Mo 0.250 0.750 0.750
Mo 0.750 0.250 0.250
Mo 0.750 0.250 0.750
Mo 0.750 0.750 0.250
Mo 0.750 0.750 0.750
Ir 0.000 0.000 0.000
Ir 0.000 0.500 0.500
Ir 0.500 0.000 0.500
Ir 0.500 0.500 0.000
Br 0.000 0.000 0.500
Br 0.000 0.500 0.000
Br 0.500 0.000 0.000
Br 0.500 0.500 0.500

Calculated values
formation energy from raw total energies = 2.7 eV/f.u.



Number 1: VASP energy -7.334 eV per atom, magnetic moment 0.00 μB/cell. Number 2: VASP energy -1.937 eV per atom, magnetic moment 0.00 μB/cell. Number 3: VASP energy -7.385 eV per atom, magnetic moment 0.00 μB/cell.